{
  "formula": "IrRh2Se",
  "functional": "PBE-GGA",
  "state": "optimized geometry",
  "sg": "I4/mmm",
  "mass_density_g_cm3": 13.1,
  "formation_energy_uncorrected_ev_per_atom": 0.330,
  "crystal_system": "tetragonal",
  "m_tot_mub_per_fu": 0.00,
  "cell": [[4.727, 0.000, 0.000], [1.353, 4.530, 0.000], [-3.040, -2.265, 2.824]],
  "species": ["Ir", "Rh", "Rh", "Se"],
  "fractional_positions": [[0.750, 0.250, 0.500], [0.000, 0.000, 0.000], [0.500, 0.500, 0.000], [0.250, 0.750, 0.500]]
}

=====

{
  "formula": "IrRhSe",
  "functional": "PBE-GGA",
  "state": "optimized geometry",
  "sg": "P3m1",
  "mass_density_g_cm3": 13.5,
  "de_polymorph_ev_per_fu": 0.24,
  "formation_energy_uncorrected_ev_per_atom": 0.268,
  "crystal_system": "trigonal",
  "m_tot_mub_per_fu": 0.00,
  "cell": [[2.941, 0.000, 0.000], [-1.470, 2.547, 0.000], [0.000, 0.000, 6.162]],
  "species": ["Ir", "Rh", "Se"],
  "fractional_positions": [[0.000, 0.000, 0.989], [0.667, 0.333, 0.347], [0.333, 0.667, 0.664]]
}

=====

{
  "formula": "IrRh2Se",
  "functional": "PBE-GGA",
  "state": "optimized geometry",
  "sg": "P4/mmm",
  "mass_density_g_cm3": 13.2,
  "formation_energy_uncorrected_ev_per_atom": 0.297,
  "crystal_system": "tetragonal",
  "m_tot_mub_per_fu": 0.00,
  "cell": [[3.953, 0.000, 0.000], [0.000, 3.891, 0.000], [0.000, 0.000, 3.891]],
  "species": ["Ir", "Rh", "Rh", "Se"],
  "fractional_positions": [[0.500, 0.000, 0.500], [0.000, 0.000, 0.000], [0.000, 0.500, 0.500], [0.500, 0.500, 0.000]]
}

=====

{
  "formula": "IrRh2Se",
  "functional": "PBE-GGA",
  "state": "optimized geometry",
  "sg": "P4/mmm",
  "mass_density_g_cm3": 13.0,
  "formation_energy_uncorrected_ev_per_atom": 0.249,
  "crystal_system": "tetragonal",
  "m_tot_mub_per_fu": 0.00,
  "cell": [[-3.157, -3.328, -0.816], [1.556, -0.404, -4.373], [1.833, -1.943, 0.832]],
  "species": ["Ir", "Rh", "Rh", "Se"],
  "fractional_positions": [[0.000, 0.500, 0.500], [0.000, 0.000, 0.000], [0.500, 0.500, 0.000], [0.500, 0.000, 0.500]]
}

=====

{
  "formula": "IrRh2Se",
  "functional": "PBE-GGA",
  "state": "optimized geometry",
  "sg": "P4mm",
  "mass_density_g_cm3": 13.1,
  "formation_energy_uncorrected_ev_per_atom": 0.254,
  "crystal_system": "tetragonal",
  "m_tot_mub_per_fu": 0.00,
  "cell": [[-2.353, 0.457, -1.588], [1.374, -0.994, -2.322], [-2.328, -6.742, 1.510]],
  "species": ["Ir", "Rh", "Rh", "Se"],
  "fractional_positions": [[0.500, 0.500, 0.750], [0.000, 0.000, 0.997], [0.500, 0.500, 0.257], [0.000, 0.000, 0.496]]
}

=====

{
  "formula": "IrRh2Se",
  "functional": "PBE-GGA",
  "state": "optimized geometry",
  "sg": "R3m",
  "mass_density_g_cm3": 13.1,
  "formation_energy_uncorrected_ev_per_atom": 0.253,
  "crystal_system": "trigonal",
  "m_tot_mub_per_fu": 0.00,
  "cell": [[-4.848, 7.062, -0.373], [-6.165, 5.467, -2.372], [-6.847, 5.146, 0.403]],
  "species": ["Ir", "Rh", "Rh", "Se"],
  "fractional_positions": [[0.753, 0.753, 0.753], [0.000, 0.000, 0.000], [0.246, 0.246, 0.246], [0.501, 0.501, 0.501]]
}

=====

{
  "formula": "IrRh2Se",
  "functional": "PBE-GGA",
  "state": "optimized geometry",
  "sg": "I-4m2",
  "mass_density_g_cm3": 13.1,
  "formation_energy_uncorrected_ev_per_atom": 0.314,
  "crystal_system": "tetragonal",
  "m_tot_mub_per_fu": 0.00,
  "cell": [[4.713, 0.006, 0.000], [1.316, 4.526, 0.000], [-3.014, -2.266, 2.827]],
  "species": ["Ir", "Rh", "Rh", "Se"],
  "fractional_positions": [[0.750, 0.250, 0.500], [0.000, 0.000, 0.000], [0.250, 0.750, 0.500], [0.500, 0.500, 0.000]]
}

=====

{
  "formula": "IrRhSe",
  "functional": "PBE-GGA",
  "state": "optimized geometry",
  "sg": "F-43m",
  "mass_density_g_cm3": 12.5,
  "de_polymorph_ev_per_fu": 0.04,
  "formation_energy_uncorrected_ev_per_atom": 0.200,
  "crystal_system": "cubic",
  "m_tot_mub_per_fu": 0.00,
  "cell": [[4.125, 0.000, 0.000], [2.063, 3.573, 0.000], [2.063, 1.191, 3.368]],
  "species": ["Ir", "Rh", "Se"],
  "fractional_positions": [[0.000, 0.000, 0.000], [0.500, 0.500, 0.500], [0.750, 0.750, 0.750]]
}